1.
PrCdNi (PBE-GGA, optimized geometry); ΔE_f = -319.1 meV per atom; magnetic moment = 0.000 μB/atom
1.0
13.013 0.000 0.000
0.000 4.009 0.000
0.000 0.000 7.637
Pr Cd Ni
6 6 6
Direct
0.044 0.000 0.236 Pr
0.250 0.000 0.857 Pr
0.456 0.000 0.236 Pr
0.544 0.000 0.764 Pr
0.750 0.000 0.143 Pr
0.956 0.000 0.764 Pr
0.127 0.500 0.570 Cd
0.250 0.500 0.202 Cd
0.373 0.500 0.570 Cd
0.627 0.500 0.430 Cd
0.750 0.500 0.798 Cd
0.873 0.500 0.430 Cd
0.089 0.500 0.944 Ni
0.250 0.000 0.441 Ni
0.411 0.500 0.944 Ni
0.589 0.500 0.056 Ni
0.750 0.000 0.559 Ni
0.911 0.500 0.056 Ni

2.
Pr4CdNi2 (PBE-GGA, optimized geometry); ΔE_f = -104.3 meV per atom; magnetic moment = 0.000 μB/atom
1.0
2.464 1.423 9.215
-2.464 1.423 9.215
0.000 -2.845 9.215
Pr Cd Ni
4 1 2
Direct
0.113 0.113 0.113 Pr
0.296 0.296 0.296 Pr
0.704 0.704 0.704 Pr
0.887 0.887 0.887 Pr
0.500 0.500 0.500 Cd
0.401 0.401 0.401 Ni
0.599 0.599 0.599 Ni

3.
PrCd9Ni3 (PBE-GGA, optimized geometry); ΔE_f = -94.5 meV per atom; magnetic moment = 0.000 μB/atom
1.0
2.741 -6.974 0.000
2.741 6.974 0.000
-2.569 0.000 6.727
Pr Cd Ni
1 9 3
Direct
0.000 0.000 0.000 Pr
0.000 0.000 0.500 Cd
0.015 0.662 0.672 Cd
0.294 0.519 0.786 Cd
0.338 0.985 0.328 Cd
0.481 0.706 0.214 Cd
0.519 0.294 0.786 Cd
0.662 0.015 0.672 Cd
0.706 0.481 0.214 Cd
0.985 0.338 0.328 Cd
0.000 0.500 0.000 Ni
0.500 0.000 0.000 Ni
0.500 0.500 0.500 Ni

4.
Pr8Cd2Ni (PBE-GGA, optimized geometry); ΔE_f = -111.3 meV per atom; magnetic moment = 0.000 μB/atom
1.0
9.257 -2.691 0.000
9.257 2.691 0.000
-1.518 0.000 6.864
Pr Cd Ni
8 2 1
Direct
0.018 0.018 0.277 Pr
0.203 0.203 0.796 Pr
0.352 0.352 0.540 Pr
0.410 0.410 0.059 Pr
0.590 0.590 0.941 Pr
0.648 0.648 0.460 Pr
0.797 0.797 0.204 Pr
0.982 0.982 0.723 Pr
0.190 0.190 0.239 Cd
0.810 0.810 0.761 Cd
0.500 0.500 0.500 Ni

| no. | energy (eV per atom) |
| --- | --- |
| 1 | -4.144 |
| 2 | -4.618 |
| 3 | -2.430 |
| 4 | -4.279 |